No. 1
Below is a geometry-optimized Y2TaPdI structure, with properties calculated at the PBE-GGA level.

Unit cell a=5.397 b=5.397 c=5.224 alpha=90.00 beta=90.00 gamma=90.00
Space group P4/mmm (No. 123)
Inequivalent atoms, fractional coordinates:
Y1 0.000 0.500 0.000 [2 per cell]
Ta1 0.000 0.000 0.500 [1 per cell]
Pd1 0.500 0.500 0.000 [1 per cell]
I1 0.500 0.500 0.500 [1 per cell]

Values from the calculation:
**Uncorrected formation energy**: 373 kJ/mol of formula units

=====

No. 2
Below is a geometry-optimized BaIr3Br structure, with properties calculated at the PBE-GGA level.

Unit cell a=5.331 b=5.331 c=5.331 alpha=90.00 beta=90.00 gamma=90.00
Space group Pm-3m (No. 221)
Inequivalent atoms, fractional coordinates:
Ba1 0.000 0.000 0.000 [1 per cell]
Ir1 0.000 0.000 0.500 [3 per cell]
Br1 0.500 0.500 0.500 [1 per cell]

Values from the calculation:
**Uncorrected formation energy**: 1353 kJ/mol of formula units

=====

No. 3
Below is a geometry-optimized Cs3SrMg2Cl9 structure, with properties calculated at the PBE-GGA level.

Unit cell a=7.4999 b=7.4999 c=9.2543 alpha=90.00 beta=90.00 gamma=120.00
Space group P-3m1 (No. 164)
Inequivalent atoms, fractional coordinates:
Cs1 0.0000 0.0000 0.0000 [1 per cell]
Cs2 0.3333 0.6667 0.6748 [2 per cell]
Sr1 0.0000 0.0000 0.5000 [1 per cell]
Mg1 0.3333 0.6667 0.1559 [2 per cell]
Cl1 0.0000 0.5000 0.0000 [3 per cell]
Cl2 0.1766 0.3531 0.3161 [6 per cell]

Values from the calculation:
**Uncorrected formation energy**: -2967 kJ/mol of formula units

=====

No. 4
Below is a geometry-optimized Nd2TmC2Cl2 structure, with properties calculated at the PBE-GGA level.

Unit cell a=4.504 b=4.504 c=14.688 alpha=90.00 beta=90.00 gamma=90.00
Space group I4/mmm (No. 139)
Inequivalent atoms, fractional coordinates:
Nd1 0.000 0.000 0.106 [4 per cell]
Tm1 0.000 0.000 0.500 [2 per cell]
C1 0.000 0.500 0.000 [4 per cell]
Cl1 0.000 0.000 0.308 [4 per cell]

Values from the calculation:
**Uncorrected formation energy**: -553 kJ/mol of formula units

=====

No. 5
Below is a geometry-optimized NbCdTc2 structure, with properties calculated at the PBE-GGA level.

Unit cell a=4.007 b=4.007 c=18.939 alpha=90.00 beta=90.00 gamma=90.00
Space group I-42d (No. 122)
Inequivalent atoms, fractional coordinates:
Nb1 0.000 0.000 0.000 [4 per cell]
Cd1 0.000 0.000 0.500 [4 per cell]
Tc1 0.174 0.250 0.125 [8 per cell]

=====

No. 6
Below is a geometry-optimized Ho2MgZn structure, with properties calculated at the PBE-GGA level.

Unit cell a=3.558 b=3.558 c=7.833 alpha=90.00 beta=90.00 gamma=90.00
Space group P4/mmm (No. 123)
Inequivalent atoms, fractional coordinates:
Ho1 0.000 0.000 0.222 [2 per cell]
Mg1 0.500 0.500 0.500 [1 per cell]
Zn1 0.500 0.500 0.000 [1 per cell]

=====

No. 7
Below is a geometry-optimized ScSnRuO2 structure, with properties calculated at the PBE-GGA level.

Unit cell a=3.893 b=3.893 c=7.208 alpha=90.00 beta=90.00 gamma=90.00
Space group P4/mmm (No. 123)
Inequivalent atoms, fractional coordinates:
Sc1 0.000 0.000 0.000 [1 per cell]
Sn1 0.000 0.000 0.500 [1 per cell]
Ru1 0.500 0.500 0.500 [1 per cell]
O1 0.000 0.500 0.000 [2 per cell]

Values from the calculation:
**Uncorrected formation energy**: -310 kJ/mol of formula units

=====

No. 8
Below is a geometry-optimized NaCdAg2N structure, with properties calculated at the PBE-GGA level.

Unit cell a=5.368 b=5.368 c=4.177 alpha=90.00 beta=90.00 gamma=90.00
Space group P4/mmm (No. 123)
Inequivalent atoms, fractional coordinates:
Na1 0.000 0.000 0.000 [1 per cell]
Cd1 0.500 0.500 0.500 [1 per cell]
Ag1 0.000 0.500 0.500 [2 per cell]
N1 0.500 0.500 0.000 [1 per cell]

Values from the calculation:
**Uncorrected formation energy**: 419 kJ/mol of formula units

=====

No. 9
Below is a geometry-optimized Li5GeAu8 structure, with properties calculated at the PBE-GGA level.

Unit cell a=7.721 b=7.721 c=8.014 alpha=90.00 beta=90.00 gamma=90.00
Space group I-4 (No. 82)
Inequivalent atoms, fractional coordinates:
Li1 0.000 0.000 0.000 [2 per cell]
Li2 0.121 0.220 0.584 [8 per cell]
Ge1 0.000 0.500 0.250 [2 per cell]
Au1 0.074 0.328 0.906 [8 per cell]
Au2 0.088 0.174 0.250 [8 per cell]

=====

No. 10
Below is a geometry-optimized YCu2Pd4 structure, with properties calculated at the PBE-GGA level.

Unit cell a=9.621 b=5.535 c=4.727 alpha=90.00 beta=106.84 gamma=90.00
Space group C2/m (No. 12)
Inequivalent atoms, fractional coordinates:
Y1 0.000 0.000 0.000 [2 per cell]
Cu1 0.241 0.500 0.478 [4 per cell]
Pd1 0.000 0.262 0.500 [4 per cell]
Pd2 0.250 0.250 0.000 [4 per cell]

=====

No. 11
Below is a geometry-optimized VSb3H structure, with properties calculated at the PBE-GGA level.

Unit cell a=5.034 b=5.034 c=5.034 alpha=90.00 beta=90.00 gamma=90.00
Space group Pm-3m (No. 221)
Inequivalent atoms, fractional coordinates:
V1 0.000 0.000 0.000 [1 per cell]
Sb1 0.000 0.000 0.500 [3 per cell]
H1 0.500 0.500 0.500 [1 per cell]

=====

No. 12
Below is a geometry-optimized PaSnI6 structure, with properties calculated at the PBE-GGA level.

Unit cell a=7.739 b=14.095 c=7.718 alpha=90.00 beta=107.56 gamma=90.00
Space group C2/m (No. 12)
Inequivalent atoms, fractional coordinates:
Pa1 0.000 0.000 0.000 [2 per cell]
Sn1 0.000 0.500 0.500 [2 per cell]
I1 0.238 0.151 0.243 [8 per cell]
I2 0.246 0.000 0.762 [4 per cell]

Values from the calculation:
**Uncorrected formation energy**: -596 kJ/mol of formula units

=====

Calculated total energy list, top to bottom, in eV/atom: -5.531; -3.230; -3.654; -5.983; -7.123; -3.213; -6.549; -2.383; -3.210; -5.364; -4.373; -3.622